# Yb6Y

Yb6Y after structural relaxation (PBE, Alexandria via LeMat-Bulk).

Computed properties:
The energy of formation from the pure elements is 1.153 eV per atom. For the final energy, the calculation gives -7.548 eV/cell.

Geometry as extended XYZ:
```
7
Lattice="-6.5855 2.4488 -2.6022 -0.5402 -1.2683 7.3646 5.2659 5.1781 -1.2629" Properties=species:S:1:pos:R:3 pbc="T T T"
Yb 0.5815 2.2501 4.2414
Yb -2.3814 1.5677 3.9066
Yb 2.0330 3.8616 2.0846
Yb -2.4412 4.1086 -0.7420
Yb 0.5216 4.7909 -0.4071
Yb -3.8928 2.4970 1.4149
Y 0.0000 0.0000 0.0000
```

# Ba3Nb2AgO8

Ba3Nb2AgO8 after structural relaxation (PBE, Alexandria via LeMat-Bulk).

Computed properties:
For the final energy, the calculation gives -101.309 eV/cell. The calculation puts the uncorrected formation energy at -2349 meV/atom.

Geometry as extended XYZ:
```
14
Lattice="6.0625 0.0000 0.0000 -3.0313 5.2503 0.0000 0.0000 0.0000 8.7838" Properties=species:S:1:pos:R:3 pbc="T T T"
Ba 0.0000 3.5002 5.9635
Ba 3.0313 1.7501 2.8203
Ba 0.0000 0.0000 0.0000
Nb 0.0000 3.5002 1.5368
Nb 3.0313 1.7501 7.2470
Ag 0.0000 0.0000 4.3919
O 0.0000 3.5002 8.4304
O 3.0313 1.7501 0.3534
O -1.5064 4.3699 2.2236
O 4.5377 0.8804 6.5602
O 0.0000 1.7607 2.2236
O 3.0313 3.4896 6.5602
O 1.5064 4.3699 2.2236
O 1.5248 0.8804 6.5602
```

# SmAlGaNi3

SmAlGaNi3 after structural relaxation (PBE, Alexandria via LeMat-Bulk).

Computed properties:
The energy of formation from the pure elements is -0.316 eV per atom. For the final energy, the calculation gives -61.460 eV/cell.

Geometry as extended XYZ:
```
12
Lattice="-1.0909 3.0915 -4.2696 0.4942 -4.8748 -3.6560 -6.0751 1.3307 2.5158" Properties=species:S:1:pos:R:3 pbc="T T T"
Sm -4.1932 1.6777 -2.8039
Sm -2.4785 -2.1303 -2.6059
Al -5.3630 -2.6781 -2.2655
Al -1.3088 2.2254 -3.1443
Ga -4.4983 -0.0295 -0.5687
Ga -2.1735 -0.4231 -4.8411
Ni -2.1051 0.4249 -0.8511
Ni 0.1497 -1.4767 -1.1075
Ni -0.2010 -1.8524 -4.6833
Ni -0.3958 0.0690 -3.2423
Ni 0.3445 -3.3981 -2.5485
Ni -4.5666 -0.8775 -4.5586
```

# ZnMoPt2

ZnMoPt2 after structural relaxation (PBE, Alexandria via LeMat-Bulk).

Computed properties:
The energy of formation from the pure elements is -0.216 eV per atom. For the final energy, the calculation gives -25.050 eV/cell.

Geometry as extended XYZ:
```
4
Lattice="4.7464 0.0000 0.0000 0.0000 4.7464 0.0000 0.0000 0.0000 2.7634" Properties=species:S:1:pos:R:3 pbc="T T T"
Mo 0.0000 2.3732 1.3817
Pt 0.0000 0.0000 0.0000
Pt 2.3732 2.3732 0.0000
Zn 2.3732 0.0000 1.3817
```

# K3BiI6

K3BiI6 after structural relaxation (PBE, Alexandria via LeMat-Bulk).

Computed properties:
As for the distance to the lowest polymorph of the same formula: 96 meV per atom. For the final energy, the calculation gives -26.197 eV/cell. The calculation puts the uncorrected formation energy at -972 meV/atom.

Geometry as extended XYZ:
```
10
Lattice="9.0758 0.0000 0.0000 4.5379 7.8599 0.0000 4.5379 2.6200 7.4104" Properties=species:S:1:pos:R:3 pbc="T T T"
K 13.6138 7.8599 5.5578
K 4.5379 2.6200 1.8526
K 9.0758 5.2399 3.7052
Bi 0.0000 0.0000 0.0000
I 9.0758 2.5097 1.7746
I 6.7113 3.8748 5.6358
I 9.0758 7.9702 5.6358
I 6.7113 6.6051 1.7746
I 11.4403 3.8748 5.6358
I 11.4403 6.6051 1.7746
```

# Er3Zr

Er3Zr after structural relaxation (PBE, Alexandria via LeMat-Bulk).

Computed properties:
The energy of formation from the pure elements is 0.056 eV per atom. As for the distance to the lowest polymorph of the same formula: 1 meV per atom. For the final energy, the calculation gives -22.012 eV/cell.

Geometry as extended XYZ:
```
4
Lattice="3.4749 0.0000 0.0000 0.0000 6.0558 0.0000 -1.7375 -3.0279 5.4291" Properties=species:S:1:pos:R:3 pbc="T T T"
Zr 0.0000 0.0149 0.0000
Er 0.0000 2.0315 2.7881
Er 1.7375 2.9871 0.0000
Er 1.7375 -0.9963 2.6410
```

# CaSbPCl2

CaSbPCl2 after structural relaxation (PBE, Alexandria via LeMat-Bulk).

Computed properties:
As for the distance to the lowest polymorph of the same formula: 0 meV per atom. For the final energy, the calculation gives -17.617 eV/cell. The calculation puts the uncorrected formation energy at -478 meV/atom.

Geometry as extended XYZ:
```
5
Lattice="-0.9476 2.3495 -4.6169 -2.2418 -4.4172 -1.7877 -4.6636 1.6414 1.7925" Properties=species:S:1:pos:R:3 pbc="T T T"
Sb 0.0000 0.0000 0.0000
Ca -3.9265 -0.2132 -2.3061
P -2.3318 0.8207 0.8962
Cl -1.1209 -2.2086 -0.8939
Cl -0.4738 1.1747 -2.3084
```

# LaPr2Al2Ge2

LaPr2Al2Ge2 after structural relaxation (PBE, Alexandria via LeMat-Bulk).

Computed properties:
The energy of formation from the pure elements is -0.519 eV per atom. For the final energy, the calculation gives -34.839 eV/cell.

Geometry as extended XYZ:
```
7
Lattice="4.2318 0.0000 0.0000 2.1159 3.6649 0.0000 2.1159 1.2216 12.2234" Properties=species:S:1:pos:R:3 pbc="T T T"
La 0.0000 0.0000 0.0000
Pr 2.1159 1.2216 7.7952
Pr 6.3477 3.6649 4.4281
Al 4.2318 2.4432 2.4250
Al 4.2318 2.4432 9.7984
Ge 6.3477 3.6649 10.1203
Ge 2.1159 1.2216 2.1031
```

# RbTlCu2F8

RbTlCu2F8 after structural relaxation (PBE, Alexandria via LeMat-Bulk).

Computed properties:
For the final energy, the calculation gives -47.575 eV/cell. The calculation puts the uncorrected formation energy at -1757 meV/atom.

Geometry as extended XYZ:
```
12
Lattice="-4.6592 -3.4602 1.2527 3.0098 -4.7460 -1.9150 2.5654 3.3898 4.8349" Properties=species:S:1:pos:R:3 pbc="T T T"
Rb -1.4593 -2.0868 2.8782
Tl 0.0000 0.0000 0.0000
Cu -0.8247 -4.1031 -0.3311
Cu 2.3752 -2.7297 1.2944
F -0.8623 -6.0439 -0.4942
F -0.7017 -2.1973 0.0529
F 0.9758 -3.7339 1.9247
F -0.7210 -5.2527 2.3399
F 1.4589 -1.1801 1.6455
F 0.1182 0.5338 2.4351
F 3.5126 -0.6724 3.6956
F -0.1167 -0.7193 5.0909
```

# NaInSnRh

NaInSnRh after structural relaxation (PBE, Alexandria via LeMat-Bulk).

Computed properties:
The energy of formation from the pure elements is -0.198 eV per atom. As for the distance to the lowest polymorph of the same formula: 67 meV per atom. For the final energy, the calculation gives -16.203 eV/cell.

Geometry as extended XYZ:
```
4
Lattice="4.7841 0.0000 0.0000 2.3921 4.1432 0.0000 2.3921 1.3811 3.9062" Properties=species:S:1:pos:R:3 pbc="T T T"
Na 2.3921 1.3811 0.9766
Rh 7.1762 4.1432 2.9297
Sn 4.7841 2.7621 1.9531
In 0.0000 0.0000 0.0000
```

# HgGeNO2

HgGeNO2 after structural relaxation (PBE, Alexandria via LeMat-Bulk).

Computed properties:
For the final energy, the calculation gives -22.808 eV/cell. The calculation puts the uncorrected formation energy at 71 meV/atom.

Geometry as extended XYZ:
```
5
Lattice="-1.2792 0.7530 -3.4842 -1.7694 -3.3476 -0.0738 -3.2801 1.6991 1.5715" Properties=species:S:1:pos:R:3 pbc="T T T"
Ge 0.0000 0.0000 0.0000
Hg -3.1644 -0.4478 -0.9933
O -0.8847 -1.6738 -0.0369
O -0.6396 0.3765 -1.7421
N -1.6400 0.8495 0.7857
```

# BiAuS2

BiAuS2 after structural relaxation (PBE, Alexandria via LeMat-Bulk).

Computed properties:
For the final energy, the calculation gives -60.988 eV/cell. The calculation puts the uncorrected formation energy at 42 meV/atom.

Geometry as extended XYZ:
```
16
Lattice="18.9209 0.0000 -0.5021 0.0000 4.0209 0.0000 -6.9914 0.0000 5.1654" Properties=species:S:1:pos:R:3 pbc="T T T"
S 12.1961 4.0202 3.0824
S -0.2666 0.0007 1.5808
S 5.6981 2.0097 3.9125
S 6.2314 2.0112 0.7508
S -2.0306 4.0205 2.6981
S 13.9601 0.0004 1.9652
S 1.0040 2.0101 4.7990
S 10.9255 2.0109 -0.1357
Au 4.7001 0.0011 0.1854
Au 7.2295 4.0198 4.4779
Au 1.2647 2.0116 2.1463
Au 10.6648 2.0093 2.5170
Bi 8.6755 4.0197 1.9540
Bi 3.2540 0.0012 2.7093
Bi 16.2101 2.0092 -0.1245
Bi -4.2806 2.0117 4.7878
```

# ReTeOsI2

ReTeOsI2 after structural relaxation (PBE, Alexandria via LeMat-Bulk).

Computed properties:
As for the distance to the lowest polymorph of the same formula: 139 meV per atom. For the final energy, the calculation gives -20.587 eV/cell. The calculation puts the uncorrected formation energy at 1866 meV/atom.

Geometry as extended XYZ:
```
5
Lattice="-5.2941 0.7522 1.2558 1.1160 -0.9749 5.2891 0.8834 4.9925 0.7338" Properties=species:S:1:pos:R:3 pbc="T T T"
I 0.5580 -0.4875 2.6446
I -2.6471 0.3761 0.6279
Re 0.0000 0.0000 0.0000
Te 0.4417 2.4962 0.3669
Os -1.6473 2.3849 3.6394
```

# ErTmTh4

ErTmTh4 after structural relaxation (PBE, Alexandria via LeMat-Bulk).

Computed properties:
The energy of formation from the pure elements is 0.038 eV per atom. As for the distance to the lowest polymorph of the same formula: 0 meV per atom. For the final energy, the calculation gives -76.970 eV/cell.

Geometry as extended XYZ:
```
12
Lattice="-2.7672 -1.5589 -5.2667 3.3070 -5.8449 -2.4393 -5.9783 -6.6673 2.6426" Properties=species:S:1:pos:R:3 pbc="T T T"
Er -1.8926 -8.4966 -3.1414
Er -3.5459 -5.5745 -1.9220
Tm -6.2652 -12.6099 -4.4535
Tm 0.8267 -1.4612 -0.6098
Th -4.8204 -9.4093 -4.9174
Th -4.9946 -8.7800 -1.4496
Th 1.0354 -7.5842 -1.3656
Th -0.4439 -5.2911 -3.6137
Th -2.0974 -2.3686 -2.3940
Th -6.4739 -6.4869 -3.6978
Th -3.3411 -11.7025 -2.6694
Th -0.6181 -4.6618 -0.1460
```

# HgAsSe2Br

HgAsSe2Br after structural relaxation (PBE, Alexandria via LeMat-Bulk).

Computed properties:
As for the distance to the lowest polymorph of the same formula: 602 meV per atom. For the final energy, the calculation gives -9.263 eV/cell. The calculation puts the uncorrected formation energy at 866 meV/atom.

Geometry as extended XYZ:
```
5
Lattice="5.1919 0.0000 0.0000 0.0000 5.1919 0.0000 0.0000 0.0000 5.5104" Properties=species:S:1:pos:R:3 pbc="T T T"
As 0.0000 0.0000 2.7552
Se 0.0000 2.5959 0.0000
Se 2.5959 0.0000 0.0000
Hg 0.0000 0.0000 0.0000
Br 2.5959 2.5959 2.7552
```

# SrPdSe2O6

SrPdSe2O6 after structural relaxation (PBE, Alexandria via LeMat-Bulk).

Computed properties:
For the final energy, the calculation gives -53.730 eV/cell. The calculation puts the uncorrected formation energy at -1014 meV/atom.

Geometry as extended XYZ:
```
10
Lattice="5.6159 0.0000 0.0000 2.8079 4.8635 0.0000 2.8079 1.6212 5.6242" Properties=species:S:1:pos:R:3 pbc="T T T"
Sr 0.0000 0.0000 0.0000
Pd 5.6159 3.2423 2.8121
Se 8.4238 4.8635 4.7161
Se 2.8079 1.6212 0.9081
O 3.6964 3.5025 4.0779
O 6.3503 1.4500 4.0779
O 4.4309 1.7101 1.5463
O 7.5353 2.9822 1.5463
O 4.8815 5.0347 1.5463
O 6.8009 4.7745 4.0779
```

# CaTb2Pm6Dy3

CaTb2Pm6Dy3 after structural relaxation (PBE, Alexandria via LeMat-Bulk).

Computed properties:
The energy of formation from the pure elements is 0.033 eV per atom. For the final energy, the calculation gives -53.172 eV/cell.

Geometry as extended XYZ:
```
12
Lattice="6.2868 -0.0006 0.0125 -3.1424 5.4451 0.0125 -1.0648 -1.8438 11.7258" Properties=species:S:1:pos:R:3 pbc="T T T"
Ca 0.0000 0.0000 0.0000
Tb -0.0002 3.6304 0.0125
Tb 3.1446 1.8141 0.0125
Pm 3.1511 1.7555 8.7743
Pm 2.0722 3.5879 2.9969
Pm -1.0716 1.8452 2.9764
Pm -0.0542 3.6067 8.7743
Pm 0.0074 0.0128 8.7539
Pm 2.1338 -0.0060 2.9764
Dy -2.1068 3.6176 5.8754
Dy 4.1864 -0.0169 5.8754
Dy 1.0398 1.8004 5.8754
```

# Sc4GaSn2

Sc4GaSn2 after structural relaxation (PBE, Alexandria via LeMat-Bulk).

Computed properties:
The energy of formation from the pure elements is -0.536 eV per atom. As for the distance to the lowest polymorph of the same formula: 0 meV per atom. For the final energy, the calculation gives -40.108 eV/cell.

Geometry as extended XYZ:
```
7
Lattice="-2.2173 0.0009 -3.8701 2.9613 -7.5448 -1.6984 -4.2902 3.0015 5.0289" Properties=species:S:1:pos:R:3 pbc="T T T"
Sc -5.0249 0.8593 0.3089
Sc 1.4787 -5.4016 -0.8485
Sc -2.1145 -1.1368 -1.3591
Sc -1.4317 -3.4055 0.8195
Ga 0.0000 0.0000 0.0000
Sn -0.9168 -3.9397 -2.0459
Sn -2.6295 -0.6026 1.5063
```

# Zr2Pd2O7

Zr2Pd2O7 after structural relaxation (PBE, Alexandria via LeMat-Bulk).

Computed properties:
For the final energy, the calculation gives -164.402 eV/cell. The calculation puts the uncorrected formation energy at -1819 meV/atom.

Geometry as extended XYZ:
```
22
Lattice="-4.8119 -3.7454 -3.7381 -2.7566 -6.0098 2.7275 -6.8308 -0.1634 2.1142" Properties=species:S:1:pos:R:3 pbc="T T T"
Zr -8.9995 -6.1991 0.6898
Zr -5.5841 -6.1174 -0.3673
Zr -7.6212 -3.1942 -0.6740
Zr -6.5936 -4.3264 2.5588
Pd -4.2059 -3.1125 -1.7311
Pd -3.1782 -4.2447 1.5017
Pd -5.2153 -1.3215 1.1951
Pd -1.7999 -1.2398 0.1380
O -7.0055 -2.4350 1.3742
O -4.8611 -5.5122 1.6970
O -5.7043 -1.9821 -0.7546
O -3.7745 -4.7513 -0.4641
O -10.7994 -7.4390 0.8277
O -5.9429 -4.3204 -1.7061
O -2.4689 -1.9047 -1.7560
O -4.7308 -3.0546 2.3079
O -3.4251 -0.2080 1.0159
O -1.4953 -2.9772 1.3064
O -8.4564 -5.5982 2.8098
O -7.1996 -4.9593 0.5518
O -9.5382 -4.4064 -0.5933
O -7.3938 -7.4836 -0.2705
```

# Ac2DySn

Ac2DySn after structural relaxation (PBE, Alexandria via LeMat-Bulk).

Computed properties:
The energy of formation from the pure elements is 0.138 eV per atom. As for the distance to the lowest polymorph of the same formula: 454 meV per atom. For the final energy, the calculation gives -16.270 eV/cell.

Geometry as extended XYZ:
```
4
Lattice="-2.3587 0.7961 -2.8588 -3.3164 -1.8144 -0.2823 -7.4104 8.6500 6.0095" Properties=species:S:1:pos:R:3 pbc="T T T"
Ac -5.9520 6.2743 4.1446
Ac -7.1336 1.3574 -1.2763
Sn 0.0000 0.0000 0.0000
Dy -6.5428 3.8159 1.4342
```

# KPuTc2O8

KPuTc2O8 after structural relaxation (PBE, Alexandria via LeMat-Bulk).

Computed properties:
For the final energy, the calculation gives -97.984 eV/cell. The calculation puts the uncorrected formation energy at -1846 meV/atom.

Geometry as extended XYZ:
```
12
Lattice="-2.8714 -5.1820 1.0417 5.5730 -0.0518 -2.2632 2.8618 -0.1683 7.0510" Properties=species:S:1:pos:R:3 pbc="T T T"
K 1.4309 -0.0841 3.5255
Pu 0.0000 0.0000 0.0000
Tc 4.8610 -1.8855 4.0193
Tc 0.7025 -3.5165 1.8103
O 3.7377 -1.0325 5.1666
O 6.4795 -1.0579 4.0532
O 5.0669 -3.6073 4.5657
O 0.4966 -1.7947 1.2639
O 1.3576 -3.5551 3.4245
O 4.2058 -1.8470 2.4051
O 1.8257 -4.3696 0.6630
O -0.9160 -4.3441 1.7764
```

# Th4SiTe2Ir

Th4SiTe2Ir after structural relaxation (PBE, Alexandria via LeMat-Bulk).

Computed properties:
For the final energy, the calculation gives -58.378 eV/cell. The calculation puts the uncorrected formation energy at -1016 meV/atom.

Geometry as extended XYZ:
```
8
Lattice="4.1976 0.0000 0.0000 0.0000 7.8021 -0.2952 0.0000 2.6110 7.1517" Properties=species:S:1:pos:R:3 pbc="T T T"
Th 0.0001 7.5247 5.3484
Th 4.1976 2.8884 1.5081
Th 2.0988 6.2529 1.6429
Th 2.0988 4.1602 5.2136
Si 0.0000 5.2065 3.4283
Te 0.0000 2.6110 7.1517
Te 2.0988 1.3055 3.5759
Ir 2.0988 3.9010 -0.1476
```